SrUSn2S6: optimized geometry, GGA-PBE.

a = 7.4618 Å, b = 7.4618 Å, c = 7.4618 Å
α = 57.46°, β = 57.46°, γ = 57.46°
Sites, in units of the cell vectors:
1 Sr 0.0000 0.0000 0.0000
2 U 0.4878 0.4878 0.4878
3 Sn 0.2898 0.2898 0.2898
4 Sn 0.7986 0.7986 0.7986
5 S 0.1105 0.6704 0.4160
6 S 0.2326 0.5975 0.8444
7 S 0.4160 0.1105 0.6704
8 S 0.5975 0.8444 0.2326
9 S 0.6704 0.4160 0.1105
10 S 0.8444 0.2326 0.5975

Computed properties:
uncorrected formation energy	-1.03	eV/atom
crystal system	trigonal